Record 1
19
Lattice="5.7669 0.0000 0.0000 -2.8835 7.1128 1.8191 0.0000 -0.3467 8.0993" Properties=species:S:1:pos:R:3 comment="H2Pd12Pb5 (GGA-PBE, optimized geometry)" magmom_total_mub_per_cell=0.000 e_tot_ev_per_atom=-4.716 pbc="T T T"
Pd 0.0000 6.5686 3.0967
Pd 1.3900 2.0754 0.6650
Pd 2.8835 0.1976 6.8218
Pd 0.0000 0.0497 6.7875
Pd -1.4935 4.6907 9.2535
Pd 1.5090 4.7571 4.6661
Pd 1.3745 2.0090 5.2524
Pd 2.8835 6.7164 3.1310
Pd 4.3770 2.0754 0.6650
Pd 1.4935 4.6907 9.2535
Pd -1.5090 4.7571 4.6661
Pd 4.3925 2.0090 5.2524
Pb 2.8835 3.4274 7.1173
Pb 0.0000 -0.1734 4.0497
Pb 0.0000 5.2029 6.9341
Pb 0.0000 3.3388 2.8011
Pb 2.8835 1.5632 2.9844
H 1.4185 0.0000 0.0000
H 4.3485 0.0000 0.0000

=====

Record 2
10
Lattice="-5.9417 4.3542 -0.6377 1.8985 -5.8041 4.1686 1.9630 3.2004 3.5620" Properties=species:S:1:pos:R:3 comment="HPd3Pb (GGA-PBE, optimized geometry)" magmom_total_mub_per_cell=0.000 e_tot_ev_per_atom=-4.444 polymorph_energy_mev_per_atom=309 pbc="T T T"
Pd -1.3752 -1.8411 4.2920
Pd 0.6978 -1.0977 2.4816
Pd 0.9815 1.6002 1.7810
Pd 0.0000 0.0000 0.0000
Pd -2.7779 2.8483 4.6113
Pd -0.7049 3.5917 2.8010
H -0.8830 -0.7641 3.0531
H -1.1971 2.5147 4.0399
Pb -3.0755 4.9485 2.8883
Pb 0.9953 -3.1979 4.2046

=====

Record 3
20
Lattice="23.1468 0.0000 -3.7235 0.0000 5.6499 0.0000 -8.5707 0.0000 3.8579" Properties=species:S:1:pos:R:3 comment="HPd3Pb (GGA-PBE, optimized geometry)" magmom_total_mub_per_cell=0.000 e_tot_ev_per_atom=-4.628 polymorph_energy_mev_per_atom=125 pbc="T T T"
Pb 8.7355 1.3245 0.5559
Pb 1.4475 1.5004 0.4888
Pb 5.8406 4.3253 -0.4216
Pb 13.1286 4.1494 -0.3544
Pd 13.2329 1.3077 -0.2840
Pd 3.9159 0.2051 0.9666
Pd 1.3432 4.3422 0.4184
Pd 19.7746 2.6198 -2.8241
Pd -0.6043 2.7651 1.9446
Pd 15.2544 0.0599 -1.8462
Pd 10.6602 5.4448 -0.8323
Pd -0.6783 5.5900 1.9805
Pd 8.6312 4.1326 0.4855
Pd 5.9448 1.5173 -0.3512
Pd 15.1804 2.8848 -1.8102
Pd -5.1985 3.0300 2.9585
H 2.7337 4.5494 1.4597
H 18.5925 3.9254 -2.3310
H 11.8424 1.1005 -1.3254
H -4.0164 1.7245 2.4653

=====

Record 4
9
Lattice="-0.8185 -0.9682 -3.2894 0.9465 -4.6071 3.0095 -7.9371 -0.0718 1.9961" Properties=species:S:1:pos:R:3 comment="H2Pd4Pb3 (GGA-PBE, optimized geometry)" magmom_total_mub_per_cell=0.000 e_tot_ev_per_atom=-4.439 pbc="T T T"
Pb 0.0000 0.0000 0.0000
Pb -2.3928 -3.6476 1.6690
Pb -5.4163 -1.9995 0.0472
H -5.1254 -3.9003 2.4233
H -2.6837 -1.7467 -0.7071
Pd -1.1193 -2.5701 -0.8541
Pd -2.7146 -0.8371 0.9219
Pd -5.0946 -4.8099 0.7943
Pd -6.6898 -3.0770 2.5703

=====

Record 5
14
Lattice="-4.7280 -2.4963 1.2938 0.3916 -3.2370 -4.8146 6.4137 -3.6887 3.0017" Properties=species:S:1:pos:R:3 comment="HPd4Pb2 (GGA-PBE, optimized geometry)" magmom_total_mub_per_cell=0.000 e_tot_ev_per_atom=-4.702 polymorph_energy_mev_per_atom=0 pbc="T T T"
H -2.4139 -3.8011 0.6036
H 4.4911 -5.6209 -1.1227
Pb -1.0207 -1.5757 -0.7794
Pb 1.5343 -4.4548 -2.1472
Pb 0.5429 -4.9672 1.6281
Pb 3.0979 -7.8463 0.2602
Pd 3.1046 -3.2961 2.4262
Pd -1.0273 -6.1259 -2.9453
Pd 0.6893 -6.7598 -0.6662
Pd -0.7984 -3.1520 -3.2129
Pd 3.2956 -4.8755 0.0771
Pd -1.2184 -4.5465 -0.5962
Pd 2.8757 -6.2700 2.6938
Pd 1.3879 -2.6622 0.1471

=====

Record 6
12
Lattice="-0.5146 2.9888 -1.0046 -2.3865 -2.3461 -5.7578 -6.7307 0.2679 4.2452" Properties=species:S:1:pos:R:3 comment="H2Pd3Pb (GGA-PBE, optimized geometry)" magmom_total_mub_per_cell=0.000 e_tot_ev_per_atom=-4.420 polymorph_energy_mev_per_atom=115 pbc="T T T"
Pd -8.3224 0.9575 -0.5085
Pd -3.6989 0.0687 -0.4408
Pd -8.0923 -1.2635 -2.1540
Pd -5.9330 0.8419 -2.0764
Pd -1.3095 -0.0468 -2.0087
Pd -1.5395 2.1742 -0.3632
Pb -5.6816 1.8640 0.8359
Pb -3.9502 -0.9534 -3.3531
H -6.4014 -0.9053 -1.9544
H -2.0785 1.1777 -3.0518
H -7.5533 -0.2671 0.5346
H -3.2305 1.8159 -0.5628